No. 1
Entry from Alexandria via LeMat-Bulk: a relaxed TmSbRu crystal (GGA-PBE).

For the uncorrected formation energy, the calculation gives -0.532 eV per atom. As for the mass density: 10.415 g/cm3. The calculation puts the total magnetization at 0.00 μB/f.u.

Lattice parameters (Å, degrees): 4.5833 4.5833 3.4335 90.00 90.00 120.00
With the nearest neighbours (Å) after each atom.
Space group P-6m2 (No. 187)
Inequivalent atoms, fractional coordinates:
Tm (0.0000, 0.0000, 0.0000) (multiplicity 1)  6 Sb 3.15, 6 Ru 3.15, 2 Tm 3.43
Sb (0.3333, 0.6667, 0.5000) (multiplicity 1)  3 Ru 2.65
Ru (0.6667, 0.3333, 0.5000) (multiplicity 1)  3 Sb 2.65

***

No. 2
Entry from Alexandria via LeMat-Bulk: a relaxed Tm4Sb2Ru crystal (GGA-PBE).

For the uncorrected formation energy, the calculation gives -0.589 eV per atom. As for the mass density: 8.750 g/cm3. The calculation puts the total magnetization at 0.00 μB/f.u.

Lattice parameters (Å, degrees): 14.0404 4.4115 7.1706 90.00 119.31 90.00
With the nearest neighbours (Å) after each atom.
Space group C2/m (No. 12)
Inequivalent atoms, fractional coordinates:
Tm (0.0945, 0.0000, 0.2832) (multiplicity 4)  2 Ru 2.85, 3 Sb 3.05-3.11
Tm (0.1187, 0.5000, 0.7610) (multiplicity 4)  1 Ru 2.92, 3 Sb 2.96-3.04
Sb (0.2313, 0.5000, 0.2348) (multiplicity 4)  1 Ru 2.83, 6 Tm 2.96-3.11
Ru (0.0000, 0.5000, 0.0000) (multiplicity 2)  2 Sb 2.83, 6 Tm 2.85-2.92

***

No. 3
Entry from Alexandria via LeMat-Bulk: a relaxed Tm2SbRu crystal (GGA-PBE).

For the uncorrected formation energy, the calculation gives -0.460 eV per atom. As for the mass density: 10.452 g/cm3. The calculation puts the total magnetization at 0.00 μB/f.u.

Lattice parameters (Å, degrees): 5.0067 5.0067 12.3109 90.00 90.00 120.00
With the nearest neighbours (Å) after each atom.
Space group R-3m (No. 166, hexagonal axes)
Inequivalent atoms, fractional coordinates:
Tm (0.0000, 0.0000, 0.2504) (multiplicity 6)  4 Ru 3.07-3.08, 4 Sb 3.07
Sb (0.0000, 0.0000, 0.5000) (multiplicity 3)  8 Tm 3.07
Ru (0.0000, 0.0000, 0.0000) (multiplicity 3)  8 Tm 3.07-3.08

***

No. 4
Entry from Alexandria via LeMat-Bulk: a relaxed Tm12Sb6Ru crystal (GGA-PBE).

For the uncorrected formation energy, the calculation gives -0.603 eV per atom. As for the mass density: 8.347 g/cm3. The calculation puts the total magnetization at 0.00 μB/f.u.

Lattice parameters (Å, degrees): 12.8893 12.8893 11.8588 90.00 90.00 120.00
With the nearest neighbours (Å) after each atom.
Space group R-3 (No. 148, hexagonal axes)
Inequivalent atoms, fractional coordinates:
Tm (0.0279, 0.8416, 0.3855) (multiplicity 18)  4 Sb 3.04-3.23
Tm (0.0622, 0.8717, 0.8782) (multiplicity 18)  1 Ru 2.61
Sb (0.0436, 0.7573, 0.6383) (multiplicity 18)  7 Tm 3.04-3.25
Ru (0.0000, 0.0000, 0.0000) (multiplicity 3)  6 Tm 2.61

***

In states/eV/atom, the DOS at the Fermi energy values for the records above are, in order, 0.821; 0.685; 0.780; 0.659.